Entry from Alexandria: a relaxed structure of CrPdSe2O (PBE+U).

Unit cell a=4.939 b=4.939 c=3.537 alpha=90.00 beta=90.00 gamma=90.00
Space group P4/mmm (No. 123)
Symmetry-distinct sites (fractional):
Cr  0.000  0.000  0.000 x1
Pd  0.500  0.500  0.000 x1
Se  0.000  0.500  0.500 x2
O  0.000  0.000  0.500 x1

## Properties
The electronic total energy comes out at -0.163 hartree per atom. Its magnetization is 0.5 μB/f.u.